VASP calculation (GGA-PBE) on a geometry-optimized Sm4AgTe structure.

Geometry as POSCAR:
```
Sm4AgTe
1.0
6.100 1.272 0.000
-1.490 8.560 0.000
0.000 0.000 6.530
Sm Te Ag
8 2 2
Direct
0.661 0.945 0.250 Sm
0.869 0.307 0.996 Sm
0.389 0.349 0.250 Sm
0.339 0.055 0.750 Sm
0.611 0.651 0.750 Sm
0.131 0.693 0.004 Sm
0.869 0.307 0.504 Sm
0.131 0.693 0.496 Sm
0.832 0.973 0.750 Te
0.168 0.027 0.250 Te
0.698 0.604 0.250 Ag
0.302 0.396 0.750 Ag
```

Summary:
space group	P2_1/m
DOS(E_F)	1.30	states/eV/atom
total magnetization	0.00	μB/f.u.
total DFT energy (no corrections)	-4.62	eV/atom